Crystalline Cs5Br2Cl3 at its relaxed geometry, computed with PBE.

Lattice parameters (Å, degrees): 4.963 9.415 10.942 79.52 76.89 74.72
Last column: magnetic moment on the atom in μB.
Atoms (fractional coordinates):
Cs: 0.000 0.000 0.000  0.00
Cs: 0.093 0.226 0.587  0.00
Cs: 0.907 0.774 0.413  0.00
Cs: 0.705 0.397 0.194  0.00
Cs: 0.295 0.603 0.806  0.00
Br: 0.330 0.072 0.268  0.06
Br: 0.670 0.928 0.732  0.06
Cl: 0.500 0.500 0.500  0.00
Cl: 0.114 0.645 0.127  0.03
Cl: 0.886 0.355 0.873  0.03

Values from the calculation:
The calculation puts the total energy at -3.18 eV/atom. The calculation puts the density of states at the Fermi level at 0.00 states/eV/atom.

***

Crystalline CsBrCl3 at its relaxed geometry, computed with PBE.

Lattice parameters (Å, degrees): 15.886 9.180 9.180 109.53 127.27 52.73
Atoms (fractional coordinates):
Cs: 0.366 0.396 0.594
Cs: 0.134 0.094 0.896
Cs: 0.634 0.604 0.406
Cs: 0.866 0.906 0.104
Br: 0.750 0.063 0.563
Br: 0.250 0.937 0.437
Br: 0.750 0.456 0.956
Br: 0.250 0.544 0.044
Cl: 0.645 0.001 0.622
Cl: 0.855 0.122 0.501
Cl: 0.355 0.999 0.378
Cl: 0.145 0.878 0.499
Cl: 0.856 0.510 0.892
Cl: 0.644 0.392 0.010
Cl: 0.144 0.490 0.108
Cl: 0.356 0.608 0.990
Cl: 0.564 0.868 0.990
Cl: 0.936 0.490 0.368
Cl: 0.436 0.132 0.010
Cl: 0.064 0.510 0.632

Values from the calculation:
The calculation puts the total energy at -2.48 eV/atom. The calculation puts the density of states at the Fermi level at 0.00 states/eV/atom.

***

Crystalline Cs6BrCl5 at its relaxed geometry, computed with PBE.

Lattice parameters (Å, degrees): 8.725 8.733 8.721 59.95 80.40 70.54
Last column: magnetic moment on the atom in μB.
Atoms (fractional coordinates):
Cs: 0.746 0.085 0.343  0.00
Cs: 0.254 0.572 0.343  0.00
Cs: 0.255 0.258 0.000  0.00
Cs: 0.745 0.742 0.000  0.00
Cs: 0.746 0.428 0.657  0.00
Cs: 0.254 0.915 0.657  0.00
Br: 0.000 0.000 0.000  0.09
Cl: 0.500 0.165 0.671  0.03
Cl: 0.000 0.333 0.334  0.04
Cl: 0.500 0.500 0.000  0.03
Cl: 0.000 0.667 0.666  0.04
Cl: 0.500 0.835 0.329  0.03

Values from the calculation:
The calculation puts the total energy at -3.27 eV/atom. The calculation puts the density of states at the Fermi level at 0.00 states/eV/atom.

***

Crystalline CsBrCl3 at its relaxed geometry, computed with PBE.

Lattice parameters (Å, degrees): 20.129 7.635 7.635 140.55 142.87 37.13
Atoms (fractional coordinates):
Cs: 0.707 0.135 0.865
Cs: 0.293 0.865 0.135
Br: 0.608 0.996 0.004
Br: 0.392 0.004 0.996
Cl: 0.906 0.119 0.881
Cl: 0.094 0.881 0.119
Cl: 0.988 0.270 0.730
Cl: 0.012 0.730 0.270
Cl: 0.622 0.481 0.519
Cl: 0.378 0.519 0.481

Values from the calculation:
The calculation puts the total energy at -2.36 eV/atom. The calculation puts the density of states at the Fermi level at 0.11 states/eV/atom.

***

Crystalline Cs5Br4Cl at its relaxed geometry, computed with PBE.

Lattice parameters (Å, degrees): 5.183 5.183 18.642 97.99 97.99 90.00
Atoms (fractional coordinates):
Cs: 0.096 0.096 0.193
Cs: 0.500 0.500 0.000
Cs: 0.904 0.904 0.807
Cs: 0.300 0.300 0.601
Cs: 0.700 0.700 0.399
Br: 0.400 0.400 0.801
Br: 0.801 0.801 0.602
Br: 0.199 0.199 0.398
Br: 0.600 0.600 0.199
Cl: 0.000 0.000 0.000

Values from the calculation:
The calculation puts the total energy at -3.10 eV/atom. The calculation puts the density of states at the Fermi level at 0.00 states/eV/atom.

***

Crystalline CsBrCl3 at its relaxed geometry, computed with PBE.

Lattice parameters (Å, degrees): 10.937 10.937 6.765 90.00 90.00 154.25
Atoms (fractional coordinates):
Cs: 0.147 0.853 0.250
Cs: 0.853 0.147 0.750
Br: 0.501 0.499 0.250
Br: 0.499 0.501 0.750
Cl: 0.557 0.942 0.250
Cl: 0.058 0.443 0.250
Cl: 0.942 0.557 0.750
Cl: 0.443 0.058 0.750
Cl: 0.000 0.000 0.000
Cl: 0.000 0.000 0.500

Values from the calculation:
The calculation puts the total energy at -2.24 eV/atom. The calculation puts the density of states at the Fermi level at 0.68 states/eV/atom.

***

Crystalline CsBrCl4 at its relaxed geometry, computed with PBE.

Lattice parameters (Å, degrees): 11.016 6.644 8.141 93.18 105.53 116.30
Atoms (fractional coordinates):
Cs: 0.757 0.065 0.924
Cs: 0.243 0.935 0.076
Br: 0.164 0.394 0.543
Br: 0.836 0.606 0.457
Cl: 0.145 0.369 0.239
Cl: 0.877 0.664 0.059
Cl: 0.326 0.824 0.674
Cl: 0.674 0.176 0.326
Cl: 0.855 0.631 0.761
Cl: 0.463 0.189 0.797
Cl: 0.537 0.811 0.203
Cl: 0.123 0.336 0.941

Values from the calculation:
The value obtained for the energy relative to the lowest polymorph listed for this composition is 0.0 meV per atom. The calculation puts the density of states at the Fermi level at 0.00 states/eV/atom.

***

Crystalline Cs2BrCl2 at its relaxed geometry, computed with PBE.

Lattice parameters (Å, degrees): 4.611 4.611 9.964 76.62 76.62 90.00
Last column: magnetic moment on the atom in μB.
Atoms (fractional coordinates):
Cs: 0.390 0.390 0.219  0.00
Cs: 0.610 0.610 0.781  0.00
Br: 0.000 0.000 0.000  0.00
Cl: 0.750 0.250 0.500  0.40
Cl: 0.250 0.750 0.500  0.40

Values from the calculation:
The value obtained for the energy relative to the lowest polymorph listed for this composition is 66.5 meV per atom. The calculation puts the density of states at the Fermi level at 0.34 states/eV/atom.

***

Crystalline CsBr4Cl at its relaxed geometry, computed with PBE.

Lattice parameters (Å, degrees): 7.994 7.994 9.828 114.00 114.00 90.00
Atoms (fractional coordinates):
Cs: 0.875 0.625 0.250
Cs: 0.125 0.375 0.750
Br: 0.348 0.752 0.197
Br: 0.348 0.445 0.197
Br: 0.945 0.848 0.697
Br: 0.252 0.848 0.697
Br: 0.652 0.248 0.803
Br: 0.652 0.555 0.803
Br: 0.055 0.152 0.303
Br: 0.748 0.152 0.303
Cl: 0.375 0.125 0.250
Cl: 0.625 0.875 0.750

Values from the calculation:
The calculation puts the total energy at -2.21 eV/atom. The calculation puts the density of states at the Fermi level at 0.00 states/eV/atom.

***

Crystalline CsBrCl3 at its relaxed geometry, computed with PBE.

Lattice parameters (Å, degrees): 7.997 10.899 8.155 90.00 90.00 90.00
Atoms (fractional coordinates):
Cs: 0.501 0.250 0.500
Cs: 0.999 0.750 0.000
Cs: 0.499 0.750 0.500
Cs: 0.001 0.250 0.000
Br: 0.000 0.000 0.500
Br: 0.500 0.500 0.000
Br: 0.500 0.000 0.000
Br: 0.000 0.500 0.500
Cl: 0.282 0.000 0.798
Cl: 0.218 0.500 0.298
Cl: 0.218 0.000 0.298
Cl: 0.718 0.500 0.202
Cl: 0.718 0.000 0.202
Cl: 0.782 0.500 0.702
Cl: 0.782 0.000 0.702
Cl: 0.282 0.500 0.798
Cl: 0.501 0.250 0.000
Cl: 0.999 0.750 0.500
Cl: 0.499 0.750 0.000
Cl: 0.001 0.250 0.500

Values from the calculation:
The calculation puts the total energy at -2.42 eV/atom. The calculation puts the density of states at the Fermi level at 0.00 states/eV/atom.

***

Crystalline Cs2Br7Cl at its relaxed geometry, computed with PBE.

Lattice parameters (Å, degrees): 8.214 8.214 8.284 60.28 60.28 90.00
Atoms (fractional coordinates):
Cs: 0.750 0.250 0.500
Cs: 0.250 0.750 0.500
Br: 0.000 0.000 0.000
Br: 0.291 0.291 0.417
Br: 0.709 0.709 0.583
Br: 0.223 0.223 0.000
Br: 0.777 0.777 0.000
Br: 0.777 0.223 0.000
Br: 0.223 0.777 0.000
Cl: 0.500 0.500 0.000

Values from the calculation:
The calculation puts the total energy at -2.21 eV/atom. The calculation puts the density of states at the Fermi level at 0.00 states/eV/atom.

***

Crystalline Cs6Br5Cl at its relaxed geometry, computed with PBE.

Lattice parameters (Å, degrees): 8.977 8.977 8.988 99.60 99.60 119.94
Atoms (fractional coordinates):
Cs: 0.408 0.082 0.246
Cs: 0.918 0.592 0.754
Cs: 0.243 0.243 0.754
Cs: 0.757 0.757 0.246
Cs: 0.082 0.408 0.246
Cs: 0.592 0.918 0.754
Br: 0.832 0.168 0.500
Br: 0.667 0.333 0.000
Br: 0.500 0.500 0.500
Br: 0.333 0.667 0.000
Br: 0.168 0.832 0.500
Cl: 0.000 0.000 0.000

Values from the calculation:
The calculation puts the total energy at -3.09 eV/atom. The calculation puts the density of states at the Fermi level at 0.00 states/eV/atom.

***

Crystalline CsBrCl3 at its relaxed geometry, computed with PBE.

Lattice parameters (Å, degrees): 8.773 8.773 8.773 50.92 50.92 50.92
Atoms (fractional coordinates):
Cs: 0.269 0.269 0.269
Cs: 0.731 0.731 0.731
Br: 0.082 0.082 0.082
Br: 0.918 0.918 0.918
Cl: 0.277 0.277 0.685
Cl: 0.277 0.685 0.277
Cl: 0.315 0.723 0.723
Cl: 0.723 0.315 0.723
Cl: 0.723 0.723 0.315
Cl: 0.685 0.277 0.277

Values from the calculation:
The calculation puts the total energy at -2.22 eV/atom. The calculation puts the density of states at the Fermi level at 0.85 states/eV/atom.

***

Crystalline CsCuBrCl at its relaxed geometry, computed with PBE.

Lattice parameters (Å, degrees): 7.487 5.133 4.160 90.00 89.94 116.88
Atoms (fractional coordinates):
Cs: 0.825 0.723 0.809
Cu: 0.315 0.638 0.310
Br: 0.619 0.087 0.310
Cl: 0.195 0.460 0.810

Values from the calculation:
The calculation puts the total energy at -3.17 eV/atom. The calculation puts the density of states at the Fermi level at 0.00 states/eV/atom.

***

Crystalline Cs2CuBr6Cl at its relaxed geometry, computed with PBE.

Lattice parameters (Å, degrees): 7.612 7.612 7.982 61.52 61.52 90.00
Atoms (fractional coordinates):
Cs: 0.750 0.250 0.500
Cs: 0.250 0.750 0.500
Cu: 0.000 0.000 0.000
Br: 0.199 0.199 0.602
Br: 0.801 0.801 0.398
Br: 0.253 0.253 0.000
Br: 0.747 0.747 0.000
Br: 0.747 0.253 0.000
Br: 0.253 0.747 0.000
Cl: 0.500 0.500 0.000

Values from the calculation:
The calculation puts the total energy at -2.54 eV/atom. The calculation puts the density of states at the Fermi level at 0.01 states/eV/atom.

***

Crystalline CsCuBr2Cl at its relaxed geometry, computed with PBE.

Lattice parameters (Å, degrees): 5.234 5.234 5.066 90.00 90.00 90.00
Atoms (fractional coordinates):
Cs: 0.500 0.500 0.500
Cu: 0.000 0.000 0.000
Br: 0.000 0.500 0.000
Br: 0.500 0.000 0.000
Cl: 0.000 0.000 0.500

Values from the calculation:
The calculation puts the total energy at -2.96 eV/atom. The calculation puts the density of states at the Fermi level at 0.35 states/eV/atom.

***

Crystalline Cs8Br3Cl4F at its relaxed geometry, computed with PBE.

Lattice parameters (Å, degrees): 10.067 9.985 10.061 119.75 120.02 90.00
Last column: magnetic moment on the atom in μB.
Atoms (fractional coordinates):
Cs: 0.228 0.736 0.007  0.00
Cs: 0.253 0.761 0.506  0.00
Cs: 0.246 0.237 0.491  0.00
Cs: 0.779 0.736 0.007  0.00
Cs: 0.221 0.264 0.993  0.00
Cs: 0.754 0.763 0.509  0.00
Cs: 0.747 0.239 0.494  0.00
Cs: 0.772 0.264 0.993  0.00
Br: 0.500 0.500 0.000  0.09
Br: 0.500 0.500 0.500  0.08
Br: 0.000 0.500 0.500  0.08
Cl: 0.500 0.000 0.000  0.13
Cl: 0.500 0.000 0.500  0.01
Cl: 0.000 0.000 0.000  0.01
Cl: 0.000 0.000 0.500  0.01
F: 0.000 0.500 0.000  0.09

Values from the calculation:
The calculation puts the total energy at -3.27 eV/atom. The calculation puts the density of states at the Fermi level at 0.00 states/eV/atom.

***

Crystalline Cs6BrCl2F3 at its relaxed geometry, computed with PBE.

Lattice parameters (Å, degrees): 4.617 9.513 10.560 105.13 102.63 90.00
Last column: magnetic moment on the atom in μB.
Atoms (fractional coordinates):
Cs: 0.322 0.934 0.643  0.00
Cs: 0.661 0.599 0.322  0.00
Cs: 0.678 0.066 0.357  0.00
Cs: 0.990 0.281 0.980  0.00
Cs: 0.010 0.719 0.020  0.00
Cs: 0.339 0.401 0.678  0.00
Br: 0.500 0.000 0.000  0.12
Cl: 0.835 0.671 0.671  0.06
Cl: 0.165 0.329 0.329  0.06
F: 0.500 0.500 0.000  0.00
F: 0.833 0.171 0.665  0.00
F: 0.167 0.829 0.335  0.00

Values from the calculation:
The calculation puts the total energy at -3.59 eV/atom. The calculation puts the density of states at the Fermi level at 0.00 states/eV/atom.

***

Crystalline Cs3BrClF at its relaxed geometry, computed with PBE.

Lattice parameters (Å, degrees): 4.909 8.443 12.195 102.05 90.00 90.00
Last column: magnetic moment on the atom in μB.
Atoms (fractional coordinates):
Cs: 0.250 0.791 0.473  0.00
Cs: 0.750 0.041 0.175  0.00
Cs: 0.750 0.562 0.181  0.00
Cs: 0.750 0.209 0.527  0.00
Cs: 0.250 0.438 0.819  0.00
Cs: 0.250 0.959 0.825  0.00
Br: 0.750 0.654 0.677  0.10
Br: 0.250 0.346 0.323  0.10
Cl: 0.250 0.762 0.056  0.01
Cl: 0.750 0.238 0.944  0.01
F: 0.250 0.127 0.638  0.00
F: 0.750 0.873 0.362  0.00

Values from the calculation:
The calculation puts the total energy at -3.44 eV/atom. The calculation puts the density of states at the Fermi level at 0.00 states/eV/atom.

***

Crystalline Cs4BrCl2F at its relaxed geometry, computed with PBE.

Lattice parameters (Å, degrees): 9.830 9.828 9.797 119.84 119.84 89.79
Last column: magnetic moment on the atom in μB.
Atoms (fractional coordinates):
Cs: 0.227 0.789 0.008  0.00
Cs: 0.711 0.273 0.492  0.00
Cs: 0.289 0.727 0.508  0.00
Cs: 0.773 0.211 0.992  0.00
Cs: 0.747 0.755 0.992  0.00
Cs: 0.744 0.752 0.508  0.00
Cs: 0.256 0.248 0.492  0.00
Cs: 0.253 0.245 0.008  0.00
Br: 0.000 0.500 0.000  0.08
Br: 0.000 0.500 0.500  0.08
Cl: 0.500 0.000 0.000  0.01
Cl: 0.500 0.000 0.500  0.01
Cl: 0.000 0.000 0.500  0.11
Cl: 0.500 0.500 0.000  0.11
F: 0.500 0.500 0.500  0.07
F: 0.000 0.000 0.000  0.06

Values from the calculation:
The calculation puts the total energy at -3.38 eV/atom. The calculation puts the density of states at the Fermi level at 0.00 states/eV/atom.

***

Crystalline Cs6BrCl3F2 at its relaxed geometry, computed with PBE.

Lattice parameters (Å, degrees): 8.318 8.318 8.346 99.71 99.71 120.07
Last column: magnetic moment on the atom in μB.
Atoms (fractional coordinates):
Cs: 0.924 0.555 0.774  0.00
Cs: 0.711 0.711 0.228  0.00
Cs: 0.076 0.445 0.226  0.00
Cs: 0.555 0.924 0.774  0.00
Cs: 0.289 0.289 0.772  0.00
Cs: 0.445 0.076 0.226  0.00
Br: 0.000 0.000 0.000  0.06
Cl: 0.157 0.843 0.500  0.04
Cl: 0.843 0.157 0.500  0.04
Cl: 0.500 0.500 0.500  0.05
F: 0.330 0.670 0.000  0.03
F: 0.670 0.330 0.000  0.03

Values from the calculation:
The calculation puts the total energy at -3.47 eV/atom. The calculation puts the density of states at the Fermi level at 0.00 states/eV/atom.

***

| no. | M_tot (μB per formula unit) |
| --- | --- |
| 1 | 0.3 |
| 2 | 0.0 |
| 3 | 0.4 |
| 4 | 0.0 |
| 5 | 0.0 |
| 6 | 0.0 |
| 7 | 0.0 |
| 8 | 1.0 |
| 9 | 0.0 |
| 10 | 0.0 |
| 11 | 0.0 |
| 12 | 0.2 |
| 13 | 0.0 |
| 14 | 0.0 |
| 15 | 0.0 |
| 16 | 0.0 |
| 17 | 0.7 |
| 18 | 0.3 |
| 19 | 0.2 |
| 20 | 0.4 |
| 21 | 0.4 |